i | ## ZrZnI3 (PBE)

Data for a relaxed structure of ZrZnI3.

* crystal system: cubic
* M_tot: 2.54 μB/f.u.
* DOS at the Fermi energy: 0.9731 states/eV per atom

abc: 5.4998 5.4998 5.4998
angles: 90.00 90.00 90.00
Closest atoms and distances in Å follow each position.
Space group Pm-3m (No. 221)
Inequivalent atoms, fractional coordinates:
Zr (0.0000, 0.0000, 0.0000)  12 I 3.89
Zn (0.5000, 0.5000, 0.5000)  6 I 2.75
I (0.0000, 0.5000, 0.5000)  2 Zn 2.75

***

ii | ## ZrZnI3 (PBE)

Data for a relaxed structure of ZrZnI3.

* crystal system: cubic
* M_tot: 0.00 μB/f.u.
* DOS at the Fermi energy: 0.4564 states/eV per atom

abc: 5.7748 5.7748 5.7748
angles: 90.00 90.00 90.00
Closest atoms and distances in Å follow each position.
Space group Pm-3m (No. 221)
Inequivalent atoms, fractional coordinates:
Zr (0.0000, 0.0000, 0.0000)  6 I 2.89
Zn (0.5000, 0.5000, 0.5000)  12 I 4.08
I (0.0000, 0.0000, 0.5000)  2 Zr 2.89

***

Which is most stable, and by how much? ii, by 0.668 eV/atom.